# NaZnCd3

A geometry-optimized NaZnCd3 structure (GGA-PBE, Alexandria via LeMat-Bulk).

Cell lengths 5.143, 5.143, 5.143 Å; angles 90.00, 90.00, 90.00 degrees
Space group Pm-3m (No. 221)
Symmetry-distinct sites (fractional):
Na: 0.000 0.000 0.000
Zn: 0.500 0.500 0.500
Cd: 0.000 0.500 0.500

=====

# LiCa3In2

A geometry-optimized LiCa3In2 structure (GGA-PBE, Alexandria via LeMat-Bulk).

Cell lengths 3.928, 3.928, 11.418 Å; angles 90.00, 90.00, 90.00 degrees
Space group P4/mmm (No. 123)
Symmetry-distinct sites (fractional):
Li: 0.000 0.000 0.000
Ca: 0.500 0.500 0.176
Ca: 0.500 0.500 0.500
In: 0.000 0.000 0.335

=====

# YPC

A geometry-optimized YPC structure (GGA-PBE, Alexandria via LeMat-Bulk).

Cell lengths 7.964, 3.646, 7.682 Å; angles 90.00, 116.03, 90.00 degrees
Space group C2/m (No. 12)
Symmetry-distinct sites (fractional):
Y: 0.063 0.000 0.291
P: 0.148 0.500 0.021
C: 0.092 0.500 0.543

=====

# PrReC

A geometry-optimized PrReC structure (GGA-PBE, Alexandria via LeMat-Bulk).

Cell lengths 3.5421, 3.5421, 4.8507 Å; angles 90.00, 90.00, 120.00 degrees
Space group P-6m2 (No. 187)
Symmetry-distinct sites (fractional):
Pr: 0.0000 0.0000 0.0000
Re: 0.6667 0.3333 0.5000
C: 0.3333 0.6667 0.5000

=====

# Li5Mg

A geometry-optimized Li5Mg structure (GGA-PBE, Alexandria via LeMat-Bulk).

Cell lengths 7.879, 7.879, 7.879 Å; angles 90.00, 90.00, 90.00 degrees
Space group F-43m (No. 216)
Symmetry-distinct sites (fractional):
Li: 0.000 0.000 0.000
Li: 0.125 0.125 0.625
Mg: 0.250 0.250 0.250

=====

# InSbP3

A geometry-optimized InSbP3 structure (GGA-PBE, Alexandria via LeMat-Bulk).

Cell lengths 5.097, 5.097, 5.097 Å; angles 90.00, 90.00, 90.00 degrees
Space group Pm-3m (No. 221)
Symmetry-distinct sites (fractional):
In: 0.000 0.000 0.000
Sb: 0.500 0.500 0.500
P: 0.000 0.500 0.500

The formation energy (no corrections) comes out at 0.965 eV/atom.

=====

# Rb4NaRe3O12

A geometry-optimized Rb4NaRe3O12 structure (GGA-PBE, Alexandria via LeMat-Bulk).

Cell lengths 8.213, 8.213, 8.213 Å; angles 90.00, 90.00, 90.00 degrees
Space group Im-3m (No. 229)
Symmetry-distinct sites (fractional):
Rb: 0.250 0.250 0.250
Na: 0.000 0.000 0.000
Re: 0.000 0.000 0.500
O: 0.000 0.000 0.279
O: 0.000 0.250 0.500

The formation energy (no corrections) comes out at -1.593 eV/atom.

=====

# Ba2NpAgSe5

A geometry-optimized Ba2NpAgSe5 structure (GGA-PBE, Alexandria via LeMat-Bulk).

Cell lengths 4.337, 18.903, 13.292 Å; angles 90.00, 90.00, 90.00 degrees
Space group Cmc2_1 (No. 36)
Symmetry-distinct sites (fractional):
Ba: 0.000 0.113 0.000
Ba: 0.000 0.120 0.624
Np: 0.000 0.204 0.324
Ag: 0.000 0.436 0.742
Se: 0.000 0.063 0.356
Se: 0.000 0.291 0.962
Se: 0.000 0.298 0.683
Se: 0.000 0.348 0.315
Se: 0.000 0.498 0.071

The formation energy (no corrections) comes out at -1.310 eV/atom.

=====

# Y3Ta

A geometry-optimized Y3Ta structure (GGA-PBE, Alexandria via LeMat-Bulk).

Cell lengths 6.8885, 6.8885, 5.3393 Å; angles 90.00, 90.00, 120.00 degrees
Space group P6_3/mmc (No. 194)
Symmetry-distinct sites (fractional):
Y: 0.1739 0.3479 0.2500
Ta: 0.3333 0.6667 0.7500

=====

# Ta8Nb2W

A geometry-optimized Ta8Nb2W structure (GGA-PBE, Alexandria via LeMat-Bulk).

Cell lengths 13.477, 4.719, 7.618 Å; angles 90.00, 121.02, 90.00 degrees
Space group C2/m (No. 12)
Symmetry-distinct sites (fractional):
Ta: 0.047 0.000 0.359
Ta: 0.068 0.500 0.899
Ta: 0.185 0.500 0.423
Ta: 0.195 0.000 0.803
Nb: 0.146 0.000 0.120
W: 0.000 0.500 0.500

=====

# TaGeP2Cl

A geometry-optimized TaGeP2Cl structure (GGA-PBE, Alexandria via LeMat-Bulk).

Cell lengths 4.664, 4.664, 4.515 Å; angles 90.00, 90.00, 90.00 degrees
Space group P4/mmm (No. 123)
Symmetry-distinct sites (fractional):
Ta: 0.000 0.000 0.000
Ge: 0.500 0.500 0.500
P: 0.000 0.500 0.500
Cl: 0.500 0.500 0.000

The formation energy (no corrections) comes out at 1.049 eV/atom.

=====

# Cs2AgF

A geometry-optimized Cs2AgF structure (GGA-PBE, Alexandria via LeMat-Bulk).

Cell lengths 8.599, 8.599, 9.993 Å; angles 90.00, 90.00, 90.00 degrees
Space group I-42d (No. 122)
Symmetry-distinct sites (fractional):
Cs: 0.162 0.250 0.125
Ag: 0.000 0.000 0.500
F: 0.000 0.000 0.000

The formation energy (no corrections) comes out at -1.246 eV/atom.

=====

no.,uncorrected energy (eV/atom),total magnetization (μB per cell),density (g/cm³)
1,-0.96,0.0,5.19
2,-2.56,0.0,3.36
3,-7.47,0.0,4.37
4,-8.62,0.0,10.68
5,-1.83,0.0,0.80
6,-3.65,0.0,4.13
7,-6.69,4.1,6.69
8,-5.43,8.0,6.18
9,-7.51,0.0,6.78
10,-11.36,0.0,14.54
11,-4.78,0.0,5.93
12,-2.85,0.0,3.53